An optimized crystal structure of KPrCo, computed with PBE.

Computed properties:
offset from the most stable computed form = 0 meV/atom
V = 86 Å³/cell
calculated total energy = -3.507 eV per atom

a = 4.9489 Å, b = 4.9489 Å, c = 4.9489 Å
α = 60.00°, β = 60.00°, γ = 60.00°
Atoms (fractional coordinates):
Co 0.0000 0.0000 0.0000
K 0.2500 0.2500 0.2500
Pr 0.7500 0.7500 0.7500